DFT (PBE with a Hubbard U) results for an optimized crystal structure of ThSc2MoO8.

Values from the calculation:
Symmetry: No. 65
Total energy: -0.3108 Ha/atom

Cell and atoms, written as extended XYZ:
```
12
Lattice="3.447 -3.460 0.000 3.447 3.460 0.000 0.000 0.000 6.701" Properties=species:S:1:pos:R:3 pbc="T T T"
Th 0.000 0.000 0.000
Sc 3.447 0.000 1.701
Sc 3.447 0.000 5.001
Mo 0.000 0.000 3.351
O 1.334 0.000 1.925
O 1.334 0.000 4.776
O 3.447 1.500 3.351
O 3.447 1.245 0.000
O 3.447 -1.245 0.000
O 3.447 -1.500 3.351
O 5.559 0.000 1.925
O 5.559 0.000 4.776
```